Record 1
The following is a DFT calculation (GGA-PBE) of LaCu2Te2 after structural relaxation.

a b c (Å): 7.6466 7.6466 7.6466
angles (deg): 149.37 149.37 43.87
Positions (direct):
La  0.0000  0.0000  0.0000
Cu  0.2500  0.7500  0.5000
Cu  0.7500  0.2500  0.5000
Te  0.3749  0.3749  0.0000
Te  0.6251  0.6251  0.0000

energy relative to the lowest polymorph listed for this composition: 0.000 eV/atom
formation energy from raw total energies: -3.0 eV per formula unit

=====

Record 2
The following is a DFT calculation (GGA-PBE) of CaTb2Au4 after structural relaxation.

a b c (Å): 8.6751 8.6751 8.6751
angles (deg): 33.30 33.30 33.30
Positions (direct):
Ca  0.0000  0.0000  0.0000
Tb  0.2422  0.2422  0.2422
Tb  0.7578  0.7578  0.7578
Au  0.1222  0.1222  0.1222
Au  0.3728  0.3728  0.3728
Au  0.6272  0.6272  0.6272
Au  0.8778  0.8778  0.8778

ΔE_f: -0.666 eV per atom

=====

Record 3
The following is a DFT calculation (GGA-PBE) of PrHoRh2 after structural relaxation.

a b c (Å): 6.8360 6.8360 5.8349
angles (deg): 113.50 113.50 47.55
Positions (direct):
Pr  0.1380  0.1380  0.3348
Pr  0.8620  0.8620  0.6652
Ho  0.3609  0.3609  0.0564
Ho  0.6391  0.6391  0.9436
Rh  0.1119  0.1119  0.7977
Rh  0.4036  0.4036  0.5797
Rh  0.5964  0.5964  0.4203
Rh  0.8881  0.8881  0.2023

ΔE_f: -0.577 eV per atom

=====

Record 4
The following is a DFT calculation (GGA-PBE) of TbZrZn10 after structural relaxation.

a b c (Å): 4.1736 5.2639 9.0428
angles (deg): 90.00 90.00 90.00
Positions (direct):
Tb  0.0000  0.0000  0.0000
Zr  0.0000  0.5000  0.5000
Zn  0.0000  0.0000  0.3412
Zn  0.0000  0.0000  0.6588
Zn  0.0000  0.5000  0.1751
Zn  0.0000  0.5000  0.8249
Zn  0.5000  0.0000  0.5000
Zn  0.5000  0.2525  0.2547
Zn  0.5000  0.2525  0.7453
Zn  0.5000  0.5000  0.0000
Zn  0.5000  0.7475  0.2547
Zn  0.5000  0.7475  0.7453

ΔE_f: -0.206 eV per atom

=====

Record 5
The following is a DFT calculation (GGA-PBE) of Pm2PuI after structural relaxation.

a b c (Å): 11.8691 11.8691 11.8691
angles (deg): 17.57 17.57 17.57
Positions (direct):
Pm  0.0940  0.0940  0.0940
Pm  0.9060  0.9060  0.9060
Pu  0.0000  0.0000  0.0000
I  0.5000  0.5000  0.5000

energy relative to the lowest polymorph listed for this composition: 0.215 eV/atom
formation energy from raw total energies: 0.0 eV per formula unit

=====

Record 6
The following is a DFT calculation (GGA-PBE) of LiCu2Sn2Au5 after structural relaxation.

a b c (Å): 9.7881 9.7881 3.8491
angles (deg): 90.00 90.00 90.00
Positions (direct):
Li  0.0000  0.0000  0.0000
Li  0.5000  0.5000  0.0000
Cu  0.1390  0.3610  0.0000
Cu  0.3610  0.8610  0.0000
Cu  0.6390  0.1390  0.0000
Cu  0.8610  0.6390  0.0000
Sn  0.1719  0.6719  0.0000
Sn  0.3281  0.1719  0.0000
Sn  0.6719  0.8281  0.0000
Sn  0.8281  0.3281  0.0000
Au  0.0000  0.5000  0.5000
Au  0.0221  0.2043  0.5000
Au  0.2043  0.9779  0.5000
Au  0.2957  0.4779  0.5000
Au  0.4779  0.7043  0.5000
Au  0.5000  0.0000  0.5000
Au  0.5221  0.2957  0.5000
Au  0.7043  0.5221  0.5000
Au  0.7957  0.0221  0.5000
Au  0.9779  0.7957  0.5000

ΔE_f: -0.136 eV per atom

=====

Record 7
The following is a DFT calculation (GGA-PBE) of CeNiBi after structural relaxation.

a b c (Å): 4.4173 4.4173 4.2554
angles (deg): 90.00 90.00 120.00
Positions (direct):
Ce  0.0000  0.0000  0.0000
Ni  0.3333  0.6667  0.3637
Bi  0.6667  0.3333  0.5045

ΔE_f: -0.489 eV per atom

=====

Record 8
The following is a DFT calculation (GGA-PBE) of BeSiF after structural relaxation.

a b c (Å): 6.9495 6.9495 4.1190
angles (deg): 92.21 92.21 156.19
Positions (direct):
Be  0.1782  0.8218  0.5000
Be  0.8218  0.1782  0.0000
Si  0.4414  0.5328  0.9226
Si  0.5328  0.4414  0.4226
F  0.0561  0.5052  0.3271
F  0.5052  0.0561  0.8271

energy relative to the lowest polymorph listed for this composition: 0.062 eV/atom
formation energy from raw total energies: -3.8 eV per formula unit

=====

Record 9
The following is a DFT calculation (GGA-PBE) of CePmDySe3 after structural relaxation.

a b c (Å): 8.0442 4.0777 10.4120
angles (deg): 90.00 102.81 90.00
Positions (direct):
Ce  0.1764  0.2500  0.1163
Ce  0.8236  0.7500  0.8837
Pm  0.1820  0.2500  0.7038
Pm  0.8180  0.7500  0.2962
Dy  0.3358  0.7500  0.4025
Dy  0.6642  0.2500  0.5975
Se  0.0907  0.2500  0.3924
Se  0.2089  0.7500  0.9221
Se  0.4643  0.7500  0.6852
Se  0.5357  0.2500  0.3148
Se  0.7911  0.2500  0.0779
Se  0.9093  0.7500  0.6076

formation energy from raw total energies: -9.5 eV per formula unit

=====

Record 10
The following is a DFT calculation (GGA-PBE) of Pm5YTl4 after structural relaxation.

a b c (Å): 8.3589 9.3363 8.7364
angles (deg): 90.00 90.00 90.00
Positions (direct):
Pm  0.0116  0.0561  0.2321
Pm  0.0116  0.4439  0.2321
Pm  0.2500  0.7500  0.1743
Pm  0.4884  0.0561  0.2321
Pm  0.4884  0.4439  0.2321
Pm  0.5116  0.5561  0.7679
Pm  0.5116  0.9439  0.7679
Pm  0.7500  0.2500  0.8257
Pm  0.9884  0.5561  0.7679
Pm  0.9884  0.9439  0.7679
Y  0.2500  0.2500  0.5841
Y  0.7500  0.7500  0.4159
Tl  0.0816  0.2500  0.9356
Tl  0.2500  0.5842  0.5014
Tl  0.2500  0.9158  0.5014
Tl  0.4184  0.2500  0.9356
Tl  0.5816  0.7500  0.0644
Tl  0.7500  0.0842  0.4986
Tl  0.7500  0.4158  0.4986
Tl  0.9184  0.7500  0.0644

ΔE_f: -0.045 eV per atom
energy relative to the lowest polymorph listed for this composition: 0.249 eV/atom

=====

Record 11
The following is a DFT calculation (GGA-PBE) of Rb2GeAs2 after structural relaxation.

a b c (Å): 7.7341 7.7341 7.7341
angles (deg): 143.26 143.26 52.94
Positions (direct):
Rb  0.2500  0.7500  0.5000
Rb  0.7500  0.2500  0.5000
Ge  0.0000  0.0000  0.0000
As  0.4163  0.4163  0.0000
As  0.5837  0.5837  0.0000

ΔE_f: 0.347 eV per atom

=====

Record 12
The following is a DFT calculation (GGA-PBE) of ThCuAsS after structural relaxation.

a b c (Å): 4.2976 4.2976 8.6598
angles (deg): 90.00 90.00 90.00
Positions (direct):
Th  0.2500  0.2500  0.2058
Th  0.7500  0.7500  0.7942
Cu  0.2500  0.7500  0.5000
Cu  0.7500  0.2500  0.5000
As  0.2500  0.2500  0.6610
As  0.7500  0.7500  0.3389
S  0.2500  0.7500  0.0000
S  0.7500  0.2500  0.0000

formation energy from raw total energies: -4.4 eV per formula unit

=====

Record 13
The following is a DFT calculation (GGA-PBE) of Ba2NiAg after structural relaxation.

a b c (Å): 5.6160 5.6160 5.6160
angles (deg): 60.00 60.00 60.00
Positions (direct):
Ba  0.2500  0.2500  0.2500
Ba  0.7500  0.7500  0.7500
Ni  0.0000  0.0000  0.0000
Ag  0.5000  0.5000  0.5000

ΔE_f: 0.017 eV per atom
energy relative to the lowest polymorph listed for this composition: 0.068 eV/atom

=====

Record 14
The following is a DFT calculation (GGA-PBE) of PBr2 after structural relaxation.

a b c (Å): 4.7100 4.7100 3.3447
angles (deg): 90.00 90.00 90.00
Positions (direct):
P  0.0000  0.0000  0.0000
Br  0.0000  0.5000  0.5000
Br  0.5000  0.0000  0.5000

formation energy from raw total energies: 1.5 eV per formula unit

=====

Record 15
The following is a DFT calculation (GGA-PBE) of Ac2HoZn after structural relaxation.

a b c (Å): 12.7486 12.7486 12.7486
angles (deg): 16.98 16.98 16.98
Positions (direct):
Ac  0.0878  0.0878  0.0878
Ac  0.9122  0.9122  0.9122
Ho  0.5000  0.5000  0.5000
Zn  0.0000  0.0000  0.0000

ΔE_f: 0.304 eV per atom
energy relative to the lowest polymorph listed for this composition: 0.385 eV/atom

=====

Record 16
The following is a DFT calculation (GGA-PBE) of TaMn4Pb after structural relaxation.

a b c (Å): 4.9217 4.9217 4.9217
angles (deg): 60.00 60.00 60.00
Positions (direct):
Ta  0.0000  0.0000  0.0000
Mn  0.1266  0.6245  0.6245
Mn  0.6245  0.1266  0.6245
Mn  0.6245  0.6245  0.1266
Mn  0.6245  0.6245  0.6245
Pb  0.2500  0.2500  0.2500

ΔE_f: 0.215 eV per atom

=====

Record 17
The following is a DFT calculation (GGA-PBE) of AcCuSbH after structural relaxation.

a b c (Å): 4.4934 4.4934 4.7045
angles (deg): 90.00 90.00 120.00
Positions (direct):
Ac  0.0000  0.0000  0.0000
Cu  0.6667  0.3333  0.5807
Sb  0.3333  0.6667  0.4771
H  0.6667  0.3333  0.9403

energy relative to the lowest polymorph listed for this composition: 0.000 eV/atom

=====

Record 18
The following is a DFT calculation (GGA-PBE) of Cs2LiSnCl5 after structural relaxation.

a b c (Å): 9.7317 9.7317 14.9786
angles (deg): 90.00 90.00 153.70
Positions (direct):
Cs  0.0999  0.9001  0.5000
Cs  0.1338  0.8662  0.1592
Cs  0.8662  0.1338  0.6592
Cs  0.9001  0.0999  0.0000
Li  0.4498  0.5502  0.2562
Li  0.5502  0.4498  0.7562
Sn  0.1919  0.8081  0.8637
Sn  0.8081  0.1919  0.3637
Cl  0.0326  0.9674  0.8268
Cl  0.2902  0.7098  0.4912
Cl  0.3198  0.6802  0.2377
Cl  0.3306  0.6694  0.8369
Cl  0.4989  0.5011  0.6152
Cl  0.5011  0.4989  0.1152
Cl  0.6694  0.3306  0.3369
Cl  0.6802  0.3198  0.7377
Cl  0.7098  0.2902  0.9912
Cl  0.9674  0.0326  0.3268

formation energy from raw total energies: -14.7 eV per formula unit

=====

Record 19
The following is a DFT calculation (GGA-PBE) of Sc2RhPb after structural relaxation.

a b c (Å): 6.2123 6.2123 6.2123
angles (deg): 104.58 104.58 119.78
Positions (direct):
Sc  0.0725  0.6250  0.9475
Sc  0.3750  0.3225  0.4475
Sc  0.6775  0.1250  0.0525
Sc  0.8750  0.9275  0.5525
Rh  0.0000  0.0000  0.0000
Rh  0.7500  0.2500  0.5000
Pb  0.2500  0.7500  0.5000
Pb  0.5000  0.5000  0.0000

ΔE_f: -0.312 eV per atom

=====

Record 20
The following is a DFT calculation (GGA-PBE) of Ho2Th3Ge4 after structural relaxation.

a b c (Å): 6.1114 6.1114 9.6211
angles (deg): 97.91 97.91 42.24
Positions (direct):
Ho  0.1776  0.1776  0.3037
Ho  0.8224  0.8224  0.6963
Th  0.1295  0.1295  0.9004
Th  0.5000  0.5000  0.5000
Th  0.8705  0.8705  0.0996
Ge  0.1669  0.1669  0.6047
Ge  0.4194  0.4194  0.8811
Ge  0.5806  0.5806  0.1189
Ge  0.8331  0.8331  0.3953

ΔE_f: -0.634 eV per atom

=====

Record 21
The following is a DFT calculation (GGA-PBE) of NpInH2O6 after structural relaxation.

a b c (Å): 5.2079 5.3500 5.7706
angles (deg): 62.58 66.71 64.11
Positions (direct):
Np  0.0000  0.0000  0.0000
In  0.5000  0.5000  0.5000
H  0.4068  0.2361  0.2657
H  0.5932  0.7639  0.7343
O  0.1154  0.3497  0.7697
O  0.2341  0.9033  0.2335
O  0.4111  0.7445  0.7424
O  0.5889  0.2555  0.2576
O  0.7659  0.0967  0.7665
O  0.8846  0.6503  0.2303

total energy: -70.02 eV per formula unit

=====

Record 22
The following is a DFT calculation (GGA-PBE) of Mn2Os3Ru4 after structural relaxation.

a b c (Å): 7.5883 7.5883 4.6121
angles (deg): 97.39 97.39 71.57
Positions (direct):
Mn  0.0228  0.7662  0.7091
Mn  0.2338  0.9772  0.7909
Mn  0.7662  0.0228  0.2091
Mn  0.9772  0.2338  0.2909
Os  0.1206  0.8794  0.2500
Os  0.1774  0.4819  0.4176
Os  0.4819  0.1774  0.9176
Os  0.5181  0.8226  0.0824
Os  0.8226  0.5181  0.5824
Os  0.8794  0.1206  0.7500
Ru  0.1195  0.3239  0.8909
Ru  0.3212  0.5559  0.9755
Ru  0.3239  0.1195  0.3909
Ru  0.4441  0.6788  0.5245
Ru  0.5559  0.3212  0.4755
Ru  0.6761  0.8805  0.6091
Ru  0.6788  0.4441  0.0245
Ru  0.8805  0.6761  0.1091

ΔE_f: 0.230 eV per atom

=====

Record 23
The following is a DFT calculation (GGA-PBE) of Si2PBr after structural relaxation.

a b c (Å): 4.8674 3.5170 4.8864
angles (deg): 90.00 112.36 90.00
Positions (direct):
Si  0.2083  0.0000  0.2930
Si  0.7917  0.0000  0.7070
P  0.0000  0.5000  0.5000
Br  0.5000  0.5000  0.0000

energy relative to the lowest polymorph listed for this composition: 0.290 eV/atom
formation energy from raw total energies: 1.4 eV per formula unit